VASP calculation (PBE+U) on a geometry-optimized Ti2Co3Te3O16 structure.

Output
For the raw total energy, the calculation gives -153.64 eV/f.u.

Cell and atoms, written as CIF:
```
data_Ti2Co3Te3O16
_cell_length_a 10.797
_cell_length_b 6.052
_cell_length_c 9.373
_cell_angle_alpha 90.00
_cell_angle_beta 92.21
_cell_angle_gamma 90.00
_symmetry_space_group_name_H-M 'C 1 m 1'
_symmetry_Int_Tables_number 8
loop_
_symmetry_equiv_pos_as_xyz
'x,y,z'
'x,-y,z'
'x+1/2,y+1/2,z'
'x+1/2,-y+1/2,z'
loop_
_atom_site_label
_atom_site_type_symbol
_atom_site_fract_x
_atom_site_fract_y
_atom_site_fract_z
Ti1 Ti 0.000 0.000 0.000
Ti2 Ti 0.182 0.500 0.448
Co1 Co 0.046 0.500 0.752
Co2 Co 0.438 0.250 0.260
Te1 Te 0.187 0.000 0.246
Te2 Te 0.294 0.251 0.741
O1 O 0.032 0.500 0.373
O2 O 0.038 0.000 0.355
O3 O 0.101 0.210 0.112
O4 O 0.145 0.279 0.627
O5 O 0.224 0.000 0.850
O6 O 0.228 0.500 0.860
O7 O 0.260 0.253 0.361
O8 O 0.345 0.000 0.159
O9 O 0.357 0.500 0.619
O10 O 0.368 0.000 0.632
O11 O 0.377 0.500 0.113
O12 O 0.450 0.253 0.850
```